Model 1:
Density functional theory data (PBE) for a relaxed HoPaNiRu crystal.

Values from the calculation:
space group: No. 216
Fermi-level density of states: 6.22 states/eV/cell
size of the total moment: 0.00 μB per atom

Cell: 4.8005 4.8005 4.8005 Å, 60.00 60.00 60.00°
Element x y z (fractional)
Ru  0.7500  0.7500  0.7500
Pa  0.5000  0.5000  0.5000
Ni  0.2500  0.2500  0.2500
Ho  0.0000  0.0000  0.0000

=====

Model 2:
Density functional theory data (PBE) for a relaxed HoPaNiRu crystal.

Values from the calculation:
space group: No. 38
Fermi-level density of states: 3.48 states/eV/cell
size of the total moment: 0.00 μB per atom

Cell: 3.6698 3.9594 5.8875 Å, 90.00 108.16 90.00°
Element x y z (fractional)
Ho  0.1428  0.0000  0.2857
Ru  0.4045  0.0000  0.8090
Ni  0.5794  0.5000  0.1588
Pa  0.8733  0.5000  0.7465

=====

Which one sits at the bottom of the stability order? model 1 does.

=====

Model 1:
Density functional theory data (PBE) for a relaxed Be2HgPb crystal.

Values from the calculation:
space group: No. 123
Fermi-level density of states: 0.78 states/eV/cell
size of the total moment: 0.00 μB per atom

Cell: 4.3966 4.3966 3.8217 Å, 90.00 90.00 90.00°
Element x y z (fractional)
Pb  0.0000  0.5000  0.5000
Hg  0.5000  0.0000  0.5000
Be  0.5000  0.5000  0.0000
Be  0.0000  0.0000  0.0000

=====

Model 2:
Density functional theory data (PBE) for a relaxed Be2HgPb crystal.

Values from the calculation:
space group: No. 47
Fermi-level density of states: 1.21 states/eV/cell
size of the total moment: 0.00 μB per atom

Cell: 3.5259 5.6099 3.8691 Å, 90.00 90.00 90.00°
Element x y z (fractional)
Be  0.0000  0.0000  0.0000
Be  0.5000  0.5000  0.0000
Pb  0.0000  0.5000  0.5000
Hg  0.5000  0.0000  0.5000

=====

Which one sits at the bottom of the stability order? model 1 does.

=====

Model 1:
Density functional theory data (PBE) for a relaxed SmDyTl crystal.

Values from the calculation:
space group: No. 107
Fermi-level density of states: 3.73 states/eV/cell
size of the total moment: 0.00 μB per atom

Cell: 3.6320 3.6320 7.3257 Å, 104.35 104.35 90.00°
Element x y z (fractional)
Tl  0.9528  0.9528  0.9056
Sm  0.2924  0.2924  0.5847
Dy  0.6049  0.6049  0.2097

=====

Model 2:
Density functional theory data (PBE) for a relaxed SmDyTl crystal.

Values from the calculation:
space group: No. 11
Fermi-level density of states: 7.19 states/eV/cell
size of the total moment: 0.00 μB per atom

Cell: 4.5080 3.5085 11.5730 Å, 90.00 90.00 90.00°
Element x y z (fractional)
Tl  0.7500  0.0002  0.2386
Tl  0.2500  0.9998  0.7614
Dy  0.2500  0.5001  0.1087
Dy  0.7500  0.4999  0.8913
Sm  0.2500  0.5013  0.3851
Sm  0.7500  0.4987  0.6149

=====

Which one sits at the bottom of the stability order? model 2 does.

=====

Model 1:
Density functional theory data (PBE) for a relaxed MnMo2Au crystal.

Values from the calculation:
space group: No. 71
Fermi-level density of states: 3.68 states/eV/cell
size of the total moment: 0.66 μB per atom

Cell: 5.0832 5.0832 5.0832 Å, 139.77 132.33 64.10°
Each line ends with the local moment (μB).
Element x y z (fractional)
Au  0.2500  0.7500  0.5000  0.03
Mo  0.9900  0.9900  0.0000  -0.14
Mo  0.5100  0.5100  0.0000  -0.14
Mn  0.7500  0.2500  0.5000  2.79

=====

Model 2:
Density functional theory data (PBE) for a relaxed MnMo2Au crystal.

Values from the calculation:
space group: No. 216
Fermi-level density of states: 4.66 states/eV/cell
size of the total moment: 0.75 μB per atom

Cell: 4.4724 4.4724 4.4724 Å, 60.00 60.00 60.00°
Each line ends with the local moment (μB).
Element x y z (fractional)
Mn  0.7500  0.7500  0.7500  3.15
Mo  0.2500  0.2500  0.2500  0.11
Mo  0.0000  0.0000  0.0000  -0.34
Au  0.5000  0.5000  0.5000  0.00

=====

Which one sits at the bottom of the stability order? model 2 does.

=====

Model 1:
Density functional theory data (PBE) for a relaxed SmTmPd crystal.

Values from the calculation:
space group: No. 2
Fermi-level density of states: 5.20 states/eV/cell
size of the total moment: 0.00 μB per atom

Cell: 3.7850 7.2086 6.3842 Å, 73.56 72.85 74.79°
Element x y z (fractional)
Sm  0.8420  0.0677  0.2477
Sm  0.1580  0.9323  0.7523
Tm  0.4089  0.3835  0.7985
Tm  0.5911  0.6165  0.2015
Pd  0.8671  0.6767  0.5889
Pd  0.1329  0.3233  0.4111

=====

Model 2:
Density functional theory data (PBE) for a relaxed SmTmPd crystal.

Values from the calculation:
space group: No. 216
Fermi-level density of states: 2.98 states/eV/cell
size of the total moment: 0.00 μB per atom

Cell: 4.9068 4.9068 4.9068 Å, 60.00 60.00 60.00°
Element x y z (fractional)
Sm  0.0000  0.0000  0.0000
Tm  0.5000  0.5000  0.5000
Pd  0.2500  0.2500  0.2500

=====

Which one sits at the bottom of the stability order? model 2 does.

=====

Model 1:
Density functional theory data (PBE) for a relaxed MgW2Br crystal.

Values from the calculation:
space group: No. 160
Fermi-level density of states: 1.52 states/eV/cell
size of the total moment: 0.00 μB per atom

Cell: 8.7819 8.7819 8.7819 Å, 21.52 21.52 21.52°
Element x y z (fractional)
Br  0.4999  0.4999  0.4999
Mg  0.7504  0.7504  0.7504
W  0.9903  0.9903  0.9903
W  0.2593  0.2593  0.2593

=====

Model 2:
Density functional theory data (PBE) for a relaxed MgW2Br crystal.

Values from the calculation:
space group: No. 123
Fermi-level density of states: 2.22 states/eV/cell
size of the total moment: 0.00 μB per atom

Cell: 5.0778 3.7983 3.7983 Å, 90.00 90.00 90.00°
Element x y z (fractional)
W  0.0000  0.5000  0.5000
W  0.0000  0.0000  0.0000
Mg  0.5000  0.0000  0.5000
Br  0.5000  0.5000  0.0000

=====

Which one sits at the bottom of the stability order? model 2 does.

=====

Model 1:
Density functional theory data (PBE) for a relaxed LiReHg crystal.

Values from the calculation:
space group: No. 156
Fermi-level density of states: 1.11 states/eV/cell
size of the total moment: 0.00 μB per atom

Cell: 2.8029 2.8029 7.3673 Å, 90.00 90.00 120.00°
Element x y z (fractional)
Re  0.6667  0.3333  0.6486
Li  0.3333  0.6667  0.3421
Hg  0.0000  0.0000  0.0093

=====

Model 2:
Density functional theory data (PBE) for a relaxed LiReHg crystal.

Values from the calculation:
space group: No. 107
Fermi-level density of states: 1.30 states/eV/cell
size of the total moment: 0.00 μB per atom

Cell: 7.1416 7.1416 7.1416 Å, 158.23 158.23 30.98°
Element x y z (fractional)
Re  0.6757  0.6757  0.0000
Li  0.3295  0.3295  0.0000
Hg  0.9948  0.9948  0.0000

=====

Which one sits at the bottom of the stability order? model 2 does.

=====

Model 1:
Density functional theory data (PBE) for a relaxed Be2TcPt crystal.

Values from the calculation:
space group: No. 216
Fermi-level density of states: 4.88 states/eV/cell
size of the total moment: 0.04 μB per atom

Cell: 4.1375 4.1375 4.1375 Å, 60.00 60.00 60.00°
Each line ends with the local moment (μB).
Element x y z (fractional)
Be  0.2500  0.2500  0.2500  0.00
Be  0.0000  0.0000  0.0000  0.00
Tc  0.7500  0.7500  0.7500  0.12
Pt  0.5000  0.5000  0.5000  0.04

=====

Model 2:
Density functional theory data (PBE) for a relaxed Be2TcPt crystal.

Values from the calculation:
space group: No. 225
Fermi-level density of states: 4.02 states/eV/cell
size of the total moment: 0.00 μB per atom

Cell: 4.0110 4.0110 4.0110 Å, 60.00 60.00 60.00°
Element x y z (fractional)
Tc  0.0000  0.0000  0.0000
Pt  0.5000  0.5000  0.5000
Be  0.7500  0.7500  0.7500
Be  0.2500  0.2500  0.2500

=====

Which one sits at the bottom of the stability order? model 1 does.